# 1
This record from Alexandria via LeMat-Bulk describes an optimized crystal structure of YNi2Au. The functional is PBE.

## Properties
- calculated formation energy (kJ/mol of atoms) = -35

Cell and atoms, written as POSCAR:
```
YNi2Au
1.0
4.152 0.000 0.000
0.000 4.152 0.000
0.000 0.000 3.774
Y Ni Au
1 2 1
direct
0.000 0.000 0.000
0.000 0.500 0.500
0.500 0.000 0.500
0.500 0.500 0.000
```

=====

# 2
This record from Alexandria via LeMat-Bulk describes an optimized crystal structure of TiFeCuGe2. The functional is PBE.

## Properties
- calculated formation energy (kJ/mol of atoms) = 67

Cell and atoms, written as POSCAR:
```
TiFeCuGe2
1.0
4.507 0.000 0.000
0.000 4.507 0.000
0.000 0.000 4.483
Ti Fe Cu Ge
1 1 1 2
direct
0.000 0.000 0.000
0.500 0.500 0.000
0.500 0.500 0.500
0.000 0.500 0.500
0.500 0.000 0.500
```

=====

# 3
This record from Alexandria via LeMat-Bulk describes an optimized crystal structure of Pm3Dy2In4. The functional is PBE.

## Properties
- relative energy among the computed polymorphs (meV per atom) = 170.9
- calculated formation energy (kJ/mol of atoms) = -24

Cell and atoms, written as POSCAR:
```
Pm3Dy2In4
1.0
3.586 -7.742 0.000
3.586 7.742 0.000
0.000 0.000 9.966
Pm Dy In
6 4 8
direct
0.000 0.000 0.000
0.025 0.475 0.250
0.475 0.025 0.750
0.500 0.500 0.500
0.525 0.975 0.250
0.975 0.525 0.750
0.105 0.895 0.463
0.395 0.605 0.963
0.605 0.395 0.037
0.895 0.105 0.537
0.196 0.804 0.016
0.240 0.260 0.250
0.260 0.240 0.750
0.304 0.696 0.516
0.696 0.304 0.484
0.740 0.760 0.250
0.760 0.740 0.750
0.804 0.196 0.984
```

=====

# 4
This record from Alexandria via LeMat-Bulk describes an optimized crystal structure of SrLa2Tb. The functional is PBE.

## Properties
- relative energy among the computed polymorphs (meV per atom) = 76.6
- calculated formation energy (kJ/mol of atoms) = 16

Cell and atoms, written as POSCAR:
```
SrLa2Tb
1.0
5.394 0.000 0.000
0.000 5.394 0.000
0.000 0.000 5.302
Sr La Tb
1 2 1
direct
0.000 0.000 0.000
0.000 0.500 0.500
0.500 0.000 0.500
0.500 0.500 0.000
```